# 1
This record from the Alexandria database describes a geometry-optimized Ca4PbN2 structure. The functional is GGA-PBE.

The total energy is -4.6293 eV/atom. For the volume, the calculation gives 156 Å³/f.u. The calculation puts the density of states at the Fermi level at 3.8 states/eV/f.u. The size of the total moment is 0.177 μB per atom.

The space group is Cmcm (No. 63) and the conventional cell measures 3.7335, 12.5650 and 13.2755 Å, with angles of 90.00, 90.00 and 90.00 degrees. The distinct sites, in fractional coordinates, are Ca at (0.0000, 0.0000, 0.0000), Ca at (0.0000, 0.2540, 0.0902), Ca at (0.0000, 0.4074, 0.7500), Pb at (0.0000, 0.1146, 0.7500) and N at (0.0000, 0.3620, 0.5656).

=====

# 2
This record from the Alexandria database describes a geometry-optimized KNpBr6 structure. The functional is GGA-PBE.

Its excess energy over the best structure of this formula in the dataset is 0 meV/atom. For the volume, the calculation gives 325 Å³/f.u. The calculation puts the density of states at the Fermi level at 8.3 states/eV/f.u. The size of the total moment is 0.250 μB per atom.

The space group is P-1 (No. 2) and the conventional cell measures 7.4202, 7.4294 and 8.0424 Å, with angles of 90.05, 117.44 and 119.94 degrees. The distinct sites, in fractional coordinates, are K at (0.0000, 0.0000, 0.0000), Np at (0.0000, 0.5000, 0.5000), Br at (0.1659, 0.4699, 0.2726), Br at (0.1971, 0.3044, 0.7277) and Br at (0.4227, 0.8924, 0.7277).

=====

# 3
This record from the Alexandria database describes a geometry-optimized Pm8GePt2 structure. The functional is GGA-PBE.

For the calculated formation energy, the calculation gives -602 kJ/mol of formula units. Its excess energy over the best structure of this formula in the dataset is 0 meV/atom. For the volume, the calculation gives 317 Å³/f.u. The calculation puts the density of states at the Fermi level at 10.3 states/eV/f.u. The size of the total moment is 0.000 μB per atom.

The space group is C2/m (No. 12) and the conventional cell measures 18.9866, 5.1282 and 6.9559 Å, with angles of 90.00, 110.82 and 90.00 degrees. The distinct sites, in fractional coordinates, are Pm at (0.0296, 0.0000, 0.2650), Pm at (0.0962, 0.5000, 0.7232), Pm at (0.1774, 0.5000, 0.3513), Pm at (0.2006, 0.0000, 0.0541), Ge at (0.0000, 0.5000, 0.0000) and Pt at (0.1666, 0.0000, 0.6085).

=====

Number 3 is which compound?
Pm8GePt2

=====

Which of these has the highest volume?
KNpBr6

=====

The highest size of the total moment belongs to which entry?
KNpBr6

=====

What is the formula in the second record?
KNpBr6